Entry 1:
The following is a DFT calculation (meta-GGA SCAN) of Re2TcIr at its PBEsol-relaxed geometry.

Geometry as POSCAR:
```
Re2TcIr
1.0
4.526 -1.356 0.000
4.526 1.356 0.000
-0.820 0.000 4.656
Re Tc Ir
2 1 1
direct
0.000 0.000 0.000
0.250 0.250 0.744
0.501 0.501 0.502
0.749 0.749 0.246
```

Space-group type ... Cm (8)
Energy above the lowest structure with this stoichiometry ... 0.0109 eV per atom

---

Entry 2:
The following is a DFT calculation (meta-GGA SCAN) of Re2TcIr at its PBEsol-relaxed geometry.

Geometry as POSCAR:
```
Re2TcIr
1.0
2.715 0.000 0.000
0.000 3.867 0.000
0.000 0.000 5.458
Re Tc Ir
2 1 1
direct
0.000 0.000 0.000
0.500 0.500 0.251
0.000 0.000 0.490
0.500 0.500 0.747
```

Space-group type ... Pmm2 (25)
Energy above the lowest structure with this stoichiometry ... 0.0016 eV per atom

---

Entry 3:
The following is a DFT calculation (meta-GGA SCAN) of ReTcIr2 at its PBEsol-relaxed geometry.

Geometry as POSCAR:
```
ReTcIr2
1.0
4.518 -1.354 0.000
4.518 1.354 0.000
-0.810 0.000 4.613
Re Tc Ir
1 1 2
direct
0.000 0.000 0.000
0.500 0.500 0.500
0.250 0.250 0.750
0.750 0.750 0.250
```

Space-group type ... C2/m (12)
Energy above the lowest structure with this stoichiometry ... 0.2372 eV per atom

---

Entry 4:
The following is a DFT calculation (meta-GGA SCAN) of Re2TcIr at its PBEsol-relaxed geometry.

Geometry as POSCAR:
```
Re2TcIr
1.0
2.715 0.000 0.000
0.000 3.861 0.000
0.000 0.000 5.452
Re Tc Ir
2 1 1
direct
0.000 0.000 0.243
0.000 0.000 0.757
0.500 0.500 0.000
0.500 0.500 0.500
```

Space-group type ... Pmmm (47)
Energy above the lowest structure with this stoichiometry ... 0.0000 eV per atom

---

Entry 5:
The following is a DFT calculation (meta-GGA SCAN) of Re2TcIr at its PBEsol-relaxed geometry.

Geometry as POSCAR:
```
Re2TcIr
1.0
1.362 0.786 8.921
-1.362 0.786 8.921
0.000 -1.572 8.921
Re Tc Ir
2 1 1
direct
0.000 0.000 0.000
0.249 0.249 0.249
0.748 0.748 0.748
0.499 0.499 0.499
```

Space-group type ... R3m (160)
Energy above the lowest structure with this stoichiometry ... 0.0581 eV per atom

---

Entry 6:
The following is a DFT calculation (meta-GGA SCAN) of Re2TcIr at its PBEsol-relaxed geometry.

Geometry as POSCAR:
```
Re2TcIr
1.0
0.000 3.076 3.076
3.076 0.000 3.076
3.076 3.076 0.000
Re Tc Ir
2 1 1
direct
0.000 0.000 0.000
0.250 0.250 0.250
0.750 0.750 0.750
0.500 0.500 0.500
```

Space-group type ... F-43m (216)
Energy above the lowest structure with this stoichiometry ... 0.4291 eV per atom